Record 1
Li2Ti13O22 | Alexandria via LeMat-Bulk | PBEsol | optimized geometry; formation energy without anion corrections = -66.733 kcal/mol of atoms; SG = Cmce
1.0
7.6150 0.0256 0.0000
-1.0136 7.5472 0.0000
0.0000 0.0000 13.8586
Ti O Li
26 44 4
Cartesian
2.2974 7.0507 11.7852
4.8754 3.3683 4.4482
5.3543 1.9963 0.0000
4.3040 0.5222 2.0734
0.5611 7.1291 2.4811
5.4350 6.2349 4.6537
1.1664 1.3380 9.2050
4.2443 0.5741 4.8559
3.9298 2.2835 9.4104
-0.0699 4.3350 2.0734
2.6716 5.2893 4.4482
1.7260 4.2046 9.4104
2.3570 6.9987 9.0028
4.4670 5.1244 11.5830
-0.0103 4.2830 4.8559
-0.3845 6.0443 11.3775
1.2471 5.5766 0.0000
3.3007 3.7864 6.9293
2.1343 2.4484 2.2757
1.0400 5.7571 6.9293
6.0403 0.4438 11.3775
5.5613 1.8158 6.9293
0.0000 0.0000 0.0000
6.6713 3.2379 11.7852
6.6117 3.2899 9.0028
6.9858 1.5285 2.4811
1.3247 5.8747 10.3940
7.1876 1.6203 8.0574
0.9623 5.4590 3.4647
-0.4869 5.9667 1.1208
3.3134 3.8011 10.5169
5.9773 0.3318 1.1208
1.6626 3.9922 1.1281
5.6390 2.1139 10.3940
6.4590 3.0264 1.2518
0.4988 2.8527 3.4195
6.5886 7.5583 3.5876
6.4311 3.0507 5.6775
0.1424 4.5465 12.6068
4.4845 0.7614 12.6068
3.8274 2.2059 5.8085
6.1026 4.7201 10.4392
2.8733 5.3811 12.7306
2.1168 6.8115 1.2518
7.0882 1.6062 12.7378
6.0587 4.6698 3.5099
3.8433 6.6895 10.4392
2.2866 2.6231 8.2280
4.4567 0.7857 8.1811
5.5872 6.4095 12.5599
4.9387 3.5806 12.7306
2.7739 5.3670 8.0501
4.3148 4.9498 5.6306
4.9383 3.4803 8.0501
5.9769 0.2314 5.8013
0.1703 4.5222 8.1811
3.7280 2.1918 1.1281
1.6630 4.0926 5.8085
0.6244 7.3415 8.0574
3.7994 6.6392 3.5099
2.8019 0.9337 10.3488
2.1447 6.7872 5.6775
0.5427 2.9031 10.3488
3.2879 3.7718 3.3417
0.6240 7.2411 12.7378
2.7580 0.8833 3.4195
-0.5862 5.9526 5.8013
5.2766 1.6982 3.4647
0.0127 0.0146 10.2710
1.0141 1.1634 1.2987
3.7493 4.3011 1.4089
6.1527 7.0582 8.3382
0.4487 0.5147 5.5204
2.8520 3.2717 12.4498

---

Record 2
Li4Ti11O24 | Alexandria via LeMat-Bulk | PBEsol | optimized geometry; formation energy without anion corrections = -66.983 kcal/mol of atoms; SG = P1; distance to the lowest polymorph of the same formula = 0.00 kcal/mol of atoms
1.0
-0.6994 4.9290 -0.3845
-6.1921 -1.3639 -6.1162
-6.6415 -0.4135 6.7970
Ti O Li
11 24 4
Cartesian
-7.1845 1.7673 1.6416
-8.4503 0.9936 -3.3312
-4.3300 1.9276 0.8048
-6.3693 1.2714 -1.2768
-11.4534 -1.3490 0.1875
-9.3839 -0.8890 2.2785
-6.2196 3.6385 -4.0350
-2.1172 4.6942 0.0962
-7.1842 -0.6593 4.2730
-4.1987 4.1094 -1.9807
-9.3302 1.4225 -0.4562
-10.3701 2.7477 0.3644
-11.1848 -0.4480 1.9260
-7.6269 2.3191 -0.1934
-5.8030 0.6895 0.5228
-2.3396 3.5953 -1.5783
-2.8291 3.1660 1.0839
-6.5129 2.7395 -5.6848
-8.6704 0.4980 1.2362
-6.8771 2.1357 -2.9794
-5.2487 -0.0909 -2.0614
-6.6167 0.7471 3.1336
-7.9513 0.2280 -1.6015
-4.4070 3.1666 -3.6185
-10.5657 -0.0258 -0.7493
-3.1119 0.5301 -0.1672
-5.6302 2.8852 1.7552
-9.1122 0.0035 3.9544
-7.2735 -0.4765 -4.1268
-9.6034 2.0202 -2.2313
-4.8556 2.6069 -0.9721
-6.2205 3.7375 4.4647
-3.7208 1.1302 2.4513
-8.3260 3.1024 2.4152
-7.1079 0.5128 5.9241
-5.1818 2.2351 3.6930
-5.1712 -0.2280 2.1450
-2.1560 1.7697 -1.4745
-9.3522 -1.1211 -1.9216

---

Record 3
Li3Ti8O16 | Alexandria via LeMat-Bulk | PBEsol | optimized geometry; formation energy without anion corrections = -66.950 kcal/mol of atoms; SG = P-4m2
1.0
5.9099 0.0000 0.0000
0.0000 5.9099 0.0000
0.0000 0.0000 8.3569
O Ti Li
16 8 3
Cartesian
2.9549 4.6098 3.0000
4.2877 2.9549 0.9371
0.0000 1.3274 3.2370
2.9549 1.3000 3.0000
1.6174 0.0000 1.1392
4.6098 2.9549 5.3569
4.2925 0.0000 1.1392
2.9549 1.6221 7.4198
1.6221 2.9549 0.9371
2.9549 4.2877 7.4198
1.3274 0.0000 5.1199
0.0000 1.6174 7.2178
0.0000 4.2925 7.2178
0.0000 4.5825 3.2370
4.5825 0.0000 5.1199
1.3000 2.9549 5.3569
1.4838 2.9549 7.2870
1.4983 0.0000 3.1450
4.4116 0.0000 3.1450
0.0000 1.4983 5.2119
2.9549 1.4838 1.0699
4.4261 2.9549 7.2870
2.9549 4.4261 1.0699
0.0000 4.4116 5.2119
2.9549 0.0000 6.2451
0.0000 0.0000 0.0000
0.0000 2.9549 2.1118

---

no.,total DFT energy (no corrections) (eV for the cell shown),DOS(E_F) (states/eV/f.u.)
1,-669.36,15.02
2,-338.68,0.00
3,-234.85,8.95